The following is a DFT calculation (PBE) of crystalline La2CdCo2 at its relaxed geometry.

a = 3.4636 Å, b = 3.4636 Å, c = 19.3644 Å
α = 90.00°, β = 90.00°, γ = 90.00°
Space group I4/mmm (No. 139)
Inequivalent atoms, fractional coordinates:
La1 0.0000 0.0000 0.1271
Cd1 0.0000 0.0000 0.5000
Co1 0.0000 0.5000 0.2500

Properties
Its calculated density is 7264 kg/m3. Its electronic total energy is -0.3649 Ry per atom. Its formation energy from the elements is 0.031 eV per atom.